(1)
Density functional theory data (GGA-PBE) for an optimized crystal structure of CrSbHRu2.

```
data_CrSbHRu2
_space_group_name_H-M_alt 'P 1'
_space_group_IT_number 1
_cell_length_a 4.667
_cell_length_b 3.204
_cell_length_c 4.667
_cell_angle_alpha 90.00
_cell_angle_beta 90.00
_cell_angle_gamma 90.00
loop_
_space_group_symop_operation_xyz
'x,y,z'
loop_
_atom_site_label
_atom_site_fract_x
_atom_site_fract_y
_atom_site_fract_z
_atom_site_occupancy
Sb1 0.500 0.500 0.500 1
Cr1 0.000 0.000 0.000 1
H1 0.000 0.500 0.000 1
Ru1 0.000 0.000 0.500 1
Ru2 0.500 0.000 0.000 1
```

Values from the calculation:
Its density is 9.0 Mg/m³. Its space-group type is P4/mmm (123). For the volume, the calculation gives 70 Å³/f.u. The total magnetization is 0.001 μB per atom. The total DFT energy (no corrections) is -32.77 eV/cell.



(2)
Density functional theory data (GGA-PBE) for an optimized crystal structure of Pr5Tm3Te8.

```
data_Pr5Tm3Te8
_space_group_name_H-M_alt 'P 1'
_space_group_IT_number 1
_cell_length_a 8.775
_cell_length_b 8.775
_cell_length_c 9.025
_cell_angle_alpha 60.91
_cell_angle_beta 60.91
_cell_angle_gamma 60.00
loop_
_space_group_symop_operation_xyz
'x,y,z'
loop_
_atom_site_label
_atom_site_fract_x
_atom_site_fract_y
_atom_site_fract_z
_atom_site_occupancy
Pr1 0.500 0.000 0.000 1
Pr2 0.500 0.500 0.000 1
Pr3 0.000 0.000 0.000 1
Pr4 0.000 0.500 0.000 1
Pr5 0.500 0.500 0.500 1
Tm1 0.500 0.000 0.500 1
Tm2 0.000 0.000 0.500 1
Tm3 0.000 0.500 0.500 1
Te1 0.250 0.250 0.736 1
Te2 0.250 0.764 0.736 1
Te3 0.764 0.250 0.736 1
Te4 0.757 0.757 0.730 1
Te5 0.750 0.750 0.264 1
Te6 0.750 0.236 0.264 1
Te7 0.236 0.750 0.264 1
Te8 0.243 0.243 0.270 1
```

Values from the calculation:
Its density is 7.4 Mg/m³. Its space-group type is R-3m (166). Its uncorrected formation energy is -1.338 eV/atom. For the volume, the calculation gives 498 Å³/f.u. The total magnetization is 0.000 μB per atom. The total DFT energy (no corrections) is -83.86 eV/cell.



(3)
Density functional theory data (GGA-PBE) for an optimized crystal structure of Th8Co2Tc.

```
data_Th8Co2Tc
_space_group_name_H-M_alt 'P 1'
_space_group_IT_number 1
_cell_length_a 6.125
_cell_length_b 7.697
_cell_length_c 7.697
_cell_angle_alpha 118.49
_cell_angle_beta 99.54
_cell_angle_gamma 99.54
loop_
_space_group_symop_operation_xyz
'x,y,z'
loop_
_atom_site_label
_atom_site_fract_x
_atom_site_fract_y
_atom_site_fract_z
_atom_site_occupancy
Th1 0.584 0.364 0.105 1
Th2 0.584 0.105 0.364 1
Th3 0.161 0.358 0.358 1
Th4 0.972 0.189 0.770 1
Th5 0.972 0.770 0.189 1
Th6 0.800 0.644 0.644 1
Th7 0.362 0.899 0.644 1
Th8 0.362 0.644 0.899 1
Co1 0.506 0.734 0.323 1
Co2 0.506 0.323 0.734 1
Tc1 0.189 0.004 0.004 1
```

Values from the calculation:
Its density is 11.4 Mg/m³. Its space-group type is Cm (8). For the formation enthalpy at 0 K, the calculation gives -0.020 eV per atom. For the volume, the calculation gives 302 Å³/f.u. The total magnetization is 0.000 μB per atom. The total DFT energy (no corrections) is -84.16 eV/cell.



(4)
Density functional theory data (GGA-PBE) for an optimized crystal structure of BeAl2Se.

```
data_BeAl2Se
_space_group_name_H-M_alt 'P 1'
_space_group_IT_number 1
_cell_length_a 3.236
_cell_length_b 3.236
_cell_length_c 6.506
_cell_angle_alpha 90.00
_cell_angle_beta 90.00
_cell_angle_gamma 90.00
loop_
_space_group_symop_operation_xyz
'x,y,z'
loop_
_atom_site_label
_atom_site_fract_x
_atom_site_fract_y
_atom_site_fract_z
_atom_site_occupancy
Be1 0.000 0.000 0.538 1
Al1 0.000 0.000 0.035 1
Al2 0.500 0.500 0.273 1
Se1 0.500 0.500 0.654 1
```

Values from the calculation:
Its density is 3.5 Mg/m³. Its space-group type is P4mm (99). Its uncorrected formation energy is 0.146 eV/atom. For the volume, the calculation gives 68 Å³/f.u. The total magnetization is 0.000 μB per atom. The total DFT energy (no corrections) is -14.11 eV/cell.



(5)
Density functional theory data (GGA-PBE) for an optimized crystal structure of Ba2HfBe.

```
data_Ba2HfBe
_space_group_name_H-M_alt 'P 1'
_space_group_IT_number 1
_cell_length_a 11.463
_cell_length_b 11.463
_cell_length_c 8.472
_cell_angle_alpha 47.43
_cell_angle_beta 47.43
_cell_angle_gamma 90.00
loop_
_space_group_symop_operation_xyz
'x,y,z'
loop_
_atom_site_label
_atom_site_fract_x
_atom_site_fract_y
_atom_site_fract_z
_atom_site_occupancy
Be1 0.500 0.500 0.000 1
Be2 0.250 0.750 0.500 1
Hf1 0.000 0.000 0.000 1
Hf2 0.750 0.250 0.500 1
Ba1 0.476 0.125 0.250 1
Ba2 0.274 0.625 0.250 1
Ba3 0.375 0.524 0.750 1
Ba4 0.875 0.726 0.750 1
```

Values from the calculation:
Its density is 4.7 Mg/m³. Its space-group type is I-42d (122). For the formation enthalpy at 0 K, the calculation gives 0.898 eV per atom. For the volume, the calculation gives 162 Å³/f.u. The total magnetization is 0.000 μB per atom. The total DFT energy (no corrections) is -27.87 eV/cell.



(6)
Density functional theory data (GGA-PBE) for an optimized crystal structure of CsLi2PmI6.

```
data_CsLi2PmI6
_space_group_name_H-M_alt 'P 1'
_space_group_IT_number 1
_cell_length_a 8.044
_cell_length_b 8.035
_cell_length_c 8.734
_cell_angle_alpha 62.56
_cell_angle_beta 62.42
_cell_angle_gamma 59.86
loop_
_space_group_symop_operation_xyz
'x,y,z'
loop_
_atom_site_label
_atom_site_fract_x
_atom_site_fract_y
_atom_site_fract_z
_atom_site_occupancy
Cs1 0.788 0.788 0.634 1
Li1 0.516 0.516 0.454 1
Li2 0.002 0.006 0.988 1
Pm1 0.324 0.323 0.029 1
I1 0.600 0.264 0.225 1
I2 0.265 0.909 0.226 1
I3 0.909 0.600 0.226 1
I4 0.303 0.747 0.744 1
I5 0.749 0.205 0.743 1
I6 0.206 0.302 0.745 1
```

Values from the calculation:
Its density is 4.2 Mg/m³. Its space-group type is P1 (1). Its uncorrected formation energy is -1.319 eV/atom. For the volume, the calculation gives 413 Å³/f.u. The total magnetization is 0.000 μB per atom. The total DFT energy (no corrections) is -31.92 eV/cell.



(7)
Density functional theory data (GGA-PBE) for an optimized crystal structure of LaMnHg2.

```
data_LaMnHg2
_space_group_name_H-M_alt 'P 1'
_space_group_IT_number 1
_cell_length_a 9.404
_cell_length_b 9.404
_cell_length_c 9.404
_cell_angle_alpha 21.91
_cell_angle_beta 21.91
_cell_angle_gamma 21.91
loop_
_space_group_symop_operation_xyz
'x,y,z'
loop_
_atom_site_label
_atom_site_fract_x
_atom_site_fract_y
_atom_site_fract_z
_atom_site_occupancy
Hg1 0.013 0.013 0.013 1
Hg2 0.487 0.487 0.487 1
La1 0.250 0.250 0.250 1
Mn1 0.750 0.750 0.750 1
```

Values from the calculation:
Its density is 9.7 Mg/m³. Its space-group type is R-3m (166). For the formation enthalpy at 0 K, the calculation gives 0.097 eV per atom. For the volume, the calculation gives 101 Å³/f.u. The total magnetization is 0.945 μB per atom. The total DFT energy (no corrections) is -14.31 eV/cell.



(8)
Density functional theory data (GGA-PBE) for an optimized crystal structure of Li12Mg7Au.

```
data_Li12Mg7Au
_space_group_name_H-M_alt 'P 1'
_space_group_IT_number 1
_cell_length_a 7.390
_cell_length_b 7.390
_cell_length_c 7.390
_cell_angle_alpha 93.54
_cell_angle_beta 93.54
_cell_angle_gamma 93.54
loop_
_space_group_symop_operation_xyz
'x,y,z'
loop_
_atom_site_label
_atom_site_fract_x
_atom_site_fract_y
_atom_site_fract_z
_atom_site_occupancy
Li1 0.880 0.250 0.749 1
Li2 0.750 0.251 0.120 1
Li3 0.624 0.143 0.492 1
Li4 0.857 0.508 0.376 1
Li5 0.251 0.120 0.750 1
Li6 0.508 0.376 0.857 1
Li7 0.492 0.624 0.143 1
Li8 0.749 0.880 0.250 1
Li9 0.143 0.492 0.624 1
Li10 0.376 0.857 0.508 1
Li11 0.250 0.749 0.880 1
Li12 0.120 0.750 0.251 1
Mg1 0.850 0.620 0.939 1
Mg2 0.380 0.061 0.150 1
Mg3 0.061 0.150 0.380 1
Mg4 0.500 0.500 0.500 1
Mg5 0.939 0.850 0.620 1
Mg6 0.620 0.939 0.850 1
Mg7 0.150 0.380 0.061 1
Au1 0.000 0.000 0.000 1
```

Values from the calculation:
Its density is 1.9 Mg/m³. Its space-group type is R-3 (148). For the formation enthalpy at 0 K, the calculation gives -0.066 eV per atom. For the volume, the calculation gives 401 Å³/f.u. The total magnetization is 0.000 μB per atom. The total DFT energy (no corrections) is -38.72 eV/cell.